Entry 1:
Pr3Zn2Cu2Si4, optimized geometry, DFT PBE; size of the total moment = 0.00 μB per atom; polymorph energy (0 for the lowest one) = 0.0000 eV per atom; crystal system = orthorhombic; space-group type = No. 71
1.0
-9.194 -0.342 8.550
-12.090 -0.221 3.396
10.677 -2.674 -6.049
Cu Pr Si Zn
2 3 4 2
direct
0.250 0.250 0.000
0.750 0.750 0.000
0.000 0.000 0.000
0.849 0.349 0.500
0.151 0.651 0.500
0.451 0.451 0.000
0.549 0.549 0.000
0.698 0.198 0.500
0.302 0.802 0.500
0.598 0.098 0.500
0.402 0.902 0.500

=====

Entry 2:
ErSnNO, optimized geometry, DFT PBE; size of the total moment = 0.00 μB per atom; polymorph energy (0 for the lowest one) = 0.3460 eV per atom; crystal system = orthorhombic; space-group type = No. 26
1.0
-0.706 0.403 -3.656
5.168 3.818 -0.577
3.333 -4.686 -1.161
Er N O Sn
2 2 2 2
direct
0.500 0.991 0.184
0.500 0.491 0.816
0.000 0.909 0.383
0.000 0.409 0.617
0.500 0.317 0.130
0.500 0.817 0.870
0.000 0.537 0.293
0.000 0.037 0.707

=====

Entry 3:
Pr3Ge13Ir4, optimized geometry, DFT PBE; size of the total moment = 0.00 μB per atom; polymorph energy (0 for the lowest one) = 0.0000 eV per atom; crystal system = cubic; space-group type = No. 223
1.0
-8.120 1.801 -3.872
3.116 -3.191 -8.018
-2.921 -8.411 2.213
Ge Ir Pr
26 8 6
direct
0.000 0.000 0.000
0.145 0.302 0.000
0.855 0.302 0.000
0.145 0.698 0.000
0.855 0.698 0.000
0.302 0.000 0.145
0.698 0.000 0.145
0.355 0.500 0.198
0.645 0.500 0.198
0.000 0.145 0.302
0.000 0.855 0.302
0.500 0.198 0.355
0.500 0.802 0.355
0.198 0.355 0.500
0.802 0.355 0.500
0.500 0.500 0.500
0.198 0.645 0.500
0.802 0.645 0.500
0.500 0.198 0.645
0.500 0.802 0.645
0.000 0.145 0.698
0.000 0.855 0.698
0.355 0.500 0.802
0.645 0.500 0.802
0.302 0.000 0.855
0.698 0.000 0.855
0.250 0.250 0.250
0.750 0.250 0.250
0.250 0.750 0.250
0.750 0.750 0.250
0.250 0.250 0.750
0.750 0.250 0.750
0.250 0.750 0.750
0.750 0.750 0.750
0.500 0.250 0.000
0.500 0.750 0.000
0.000 0.500 0.250
0.250 0.000 0.500
0.750 0.000 0.500
0.000 0.500 0.750

=====

Entry 4:
ThZr, optimized geometry, DFT PBE; size of the total moment = 0.00 μB per atom; crystal system = cubic; energy of formation = 0.9433 eV/atom; space-group type = No. 225
1.0
0.000 3.121 3.121
3.121 0.000 3.121
3.121 3.121 0.000
Th Zr
1 1
direct
0.000 0.000 0.000
0.500 0.500 0.500

=====

Entry 5:
FeBPd, optimized geometry, DFT PBE; size of the total moment = 1.00 μB per atom; crystal system = cubic; DFT total energy = -18.118 eV for the cell shown; space-group type = No. 216
1.0
2.611 -1.430 -2.446
2.254 -2.930 1.085
-0.512 -3.496 -1.537
B Fe Pd
1 1 1
direct
0.000 0.000 0.000
0.500 0.500 0.500
0.750 0.750 0.750

=====

Entry 6:
ZnCoNiIr, optimized geometry, DFT PBE; size of the total moment = 0.62 μB per atom; polymorph energy (0 for the lowest one) = 0.0038 eV per atom; crystal system = cubic; energy of formation = 0.0483 eV/atom; space-group type = No. 216
1.0
0.000 2.930 2.930
2.930 0.000 2.930
2.930 2.930 0.000
Co Ir Ni Zn
1 1 1 1
direct
0.750 0.750 0.750
0.250 0.250 0.250
0.500 0.500 0.500
0.000 0.000 0.000

=====

Entry 7:
MgTaTcGe, optimized geometry, DFT PBE; size of the total moment = 0.00 μB per atom; polymorph energy (0 for the lowest one) = 0.0000 eV per atom; crystal system = cubic; space-group type = No. 216
1.0
-4.320 -0.799 0.809
-2.936 -0.019 -3.366
-1.848 -3.843 -1.331
Ge Mg Ta Tc
1 1 1 1
direct
0.500 0.500 0.500
0.750 0.750 0.750
0.000 0.000 0.000
0.250 0.250 0.250

=====

Entry 8:
PmYHf, optimized geometry, DFT PBE; size of the total moment = 0.40 μB per atom; polymorph energy (0 for the lowest one) = 0.0000 eV per atom; crystal system = cubic; energy of formation = 0.8599 eV/atom; space-group type = No. 216
1.0
-3.902 -3.457 0.370
-1.986 -1.208 4.680
-4.801 1.607 1.296
Hf Pm Y
1 1 1
direct
0.000 0.000 0.000
0.250 0.250 0.250
0.750 0.750 0.750